No. 1
The following is a PBEsol calculation of a relaxed structure of Ni2As2O7, from the Alexandria database.

Summary:
The calculation puts the total energy at -69.499 eV/f.u. As for the uncorrected formation energy: -0.93 eV/atom.

Cell: 6.128 8.586 4.837 Å, 90.00 99.85 90.00°
Space group C2/m (No. 12)
Symmetry-distinct sites (fractional):
1 Ni 0.000 0.188 0.000 x4
2 As 0.247 0.000 0.612 x4
3 O 0.000 0.500 0.500 x2
4 O 0.081 0.000 0.273 x4
5 O 0.238 0.326 0.209 x8

---

No. 2
The following is a PBEsol calculation of a relaxed structure of Co2Mo3N, from the Alexandria database.

Summary:
The calculation puts the total energy at -60.979 eV/f.u. As for the uncorrected formation energy: -0.28 eV/atom.

Cell: 6.568 6.568 6.568 Å, 90.00 90.00 90.00°
Space group P4_132 (No. 213)
Symmetry-distinct sites (fractional):
1 Co 0.068 0.068 0.068 x8
2 Mo 0.049 0.875 0.701 x12
3 N 0.125 0.625 0.875 x4

---

No. 3
The following is a PBEsol calculation of a relaxed structure of Tl2CrPb, from the Alexandria database.

Summary:
The calculation puts the formation energy at 1.757 eV/f.u. The calculation puts the total energy at -17.744 eV/f.u.

Cell: 3.335 3.335 8.664 Å, 90.00 90.00 90.00°
Space group P4/mmm (No. 123)
Symmetry-distinct sites (fractional):
1 Tl 0.000 0.000 0.209 x2
2 Cr 0.500 0.500 0.000 x1
3 Pb 0.500 0.500 0.500 x1

---

No. 4
The following is a PBEsol calculation of a relaxed structure of TlSbMo3, from the Alexandria database.

Summary:
The calculation puts the total energy at -29.795 eV/f.u. As for the uncorrected formation energy: 2.54 eV/atom.

Cell: 4.949 4.949 4.949 Å, 90.00 90.00 90.00°
Space group Pm-3m (No. 221)
Symmetry-distinct sites (fractional):
1 Tl 0.000 0.000 0.000 x1
2 Sb 0.500 0.500 0.500 x1
3 Mo 0.000 0.000 0.500 x3

---

No. 5
The following is a PBEsol calculation of a relaxed structure of NaSbRu3, from the Alexandria database.

Summary:
The calculation puts the total energy at -28.499 eV/f.u. As for the uncorrected formation energy: 1.59 eV/atom.

Cell: 4.840 4.840 4.840 Å, 90.00 90.00 90.00°
Space group Pm-3m (No. 221)
Symmetry-distinct sites (fractional):
1 Na 0.000 0.000 0.000 x1
2 Sb 0.500 0.500 0.500 x1
3 Ru 0.000 0.500 0.500 x3

---

No. 6
The following is a PBEsol calculation of a relaxed structure of Dy3Os, from the Alexandria database.

Summary:
The calculation puts the formation energy at -0.956 eV/f.u. The calculation puts the total energy at -28.108 eV/f.u.

Cell: 7.293 8.917 6.203 Å, 90.00 90.00 90.00°
Space group Pnma (No. 62)
Symmetry-distinct sites (fractional):
1 Dy 0.038 0.250 0.128 x4
2 Dy 0.176 0.062 0.667 x8
3 Os 0.117 0.750 0.458 x4

---

No. 7
The following is a PBEsol calculation of a relaxed structure of K6Ti2S6O, from the Alexandria database.

Summary:
The calculation puts the total energy at -77.801 eV/f.u. As for the uncorrected formation energy: -1.52 eV/atom.

Cell: 13.245 10.257 12.885 Å, 90.00 105.57 90.00°
Space group P2_1/c (No. 14)
Symmetry-distinct sites (fractional):
1 K 0.006 0.158 0.396 x4
2 K 0.085 0.023 0.161 x4
3 K 0.202 0.737 0.437 x4
4 K 0.284 0.216 0.584 x4
5 K 0.406 0.547 0.828 x4
6 K 0.467 0.170 0.897 x4
7 Ti 0.179 0.132 0.794 x4
8 Ti 0.340 0.608 0.217 x4
9 S 0.034 0.148 0.655 x4
10 S 0.143 0.058 0.944 x4
11 S 0.223 0.728 0.696 x4
12 S 0.246 0.169 0.335 x4
13 S 0.376 0.573 0.060 x4
14 S 0.492 0.649 0.342 x4
15 O 0.285 0.044 0.757 x4

---

No. 8
The following is a PBEsol calculation of a relaxed structure of NaRuPbF2, from the Alexandria database.

Summary:
The calculation puts the total energy at -22.394 eV/f.u. As for the uncorrected formation energy: -0.59 eV/atom.

Cell: 4.187 4.187 5.313 Å, 90.00 90.00 90.00°
Space group P4/mmm (No. 123)
Symmetry-distinct sites (fractional):
1 Na 0.000 0.000 0.000 x1
2 Ru 0.500 0.500 0.500 x1
3 Pb 0.500 0.500 0.000 x1
4 F 0.000 0.500 0.500 x2

---

No. 9
The following is a PBEsol calculation of a relaxed structure of Li2FeRu, from the Alexandria database.

Summary:
The calculation puts the formation energy at 0.938 eV/f.u. The calculation puts the total energy at -22.132 eV/f.u.

Cell: 2.731 2.731 7.278 Å, 90.00 90.00 90.00°
Space group P4mm (No. 99)
Symmetry-distinct sites (fractional):
1 Li 0.000 0.000 0.000 x1
2 Li 0.500 0.500 0.305 x1
3 Fe 0.500 0.500 0.758 x1
4 Ru 0.000 0.000 0.567 x1

---

No. 10
The following is a PBEsol calculation of a relaxed structure of LaCoMo2, from the Alexandria database.

Summary:
The calculation puts the formation energy at 3.272 eV/f.u. The calculation puts the total energy at -33.348 eV/f.u.

Cell: 4.515 4.515 3.208 Å, 90.00 90.00 90.00°
Space group P4/mmm (No. 123)
Symmetry-distinct sites (fractional):
1 La 0.000 0.000 0.000 x1
2 Co 0.500 0.500 0.000 x1
3 Mo 0.000 0.500 0.500 x2

---

No. 11
The following is a PBEsol calculation of a relaxed structure of SrSbRhI2, from the Alexandria database.

Summary:
The calculation puts the total energy at -13.861 eV/f.u. As for the uncorrected formation energy: 0.84 eV/atom.

Cell: 6.087 6.087 6.352 Å, 90.00 90.00 90.00°
Space group P4/mmm (No. 123)
Symmetry-distinct sites (fractional):
1 Sr 0.000 0.000 0.000 x1
2 Sb 0.000 0.000 0.500 x1
3 Rh 0.500 0.500 0.500 x1
4 I 0.000 0.500 0.000 x2

---

No. 12
The following is a PBEsol calculation of a relaxed structure of ZnTeIr2, from the Alexandria database.

Summary:
The calculation puts the total energy at -23.960 eV/f.u. As for the uncorrected formation energy: 0.20 eV/atom.

Cell: 8.575 3.024 4.991 Å, 90.00 101.10 90.00°
Space group C2/m (No. 12)
Symmetry-distinct sites (fractional):
1 Zn 0.000 0.000 0.000 x2
2 Te 0.000 0.500 0.500 x2
3 Ir 0.247 0.500 0.239 x4

---

No. 13
The following is a PBEsol calculation of a relaxed structure of BaTl2Si, from the Alexandria database.

Summary:
The calculation puts the total energy at -13.729 eV/f.u. As for the uncorrected formation energy: -0.14 eV/atom.

Cell: 4.478 4.478 6.068 Å, 90.00 90.07 90.00°
Space group Pm (No. 6)
Symmetry-distinct sites (fractional):
1 Ba 0.000 0.000 0.000 x1
2 Tl 0.001 0.500 0.513 x1
3 Tl 0.501 0.000 0.513 x1
4 Si 0.500 0.500 0.200 x1

---

No. 14
The following is a PBEsol calculation of a relaxed structure of K2Tl2Pd, from the Alexandria database.

Summary:
The calculation puts the formation energy at -0.252 eV/f.u. The calculation puts the total energy at -13.737 eV/f.u.

Cell: 7.208 7.208 5.891 Å, 90.00 90.00 90.00°
Space group P4/mbm (No. 127)
Symmetry-distinct sites (fractional):
1 K 0.181 0.319 0.000 x4
2 Tl 0.152 0.652 0.500 x4
3 Pd 0.000 0.000 0.500 x2

---

No. 15
The following is a PBEsol calculation of a relaxed structure of LaInMo2, from the Alexandria database.

Summary:
The calculation puts the formation energy at 2.303 eV/f.u. The calculation puts the total energy at -29.562 eV/f.u.

Cell: 6.240 9.380 2.907 Å, 90.00 113.84 90.00°
Space group C2/m (No. 12)
Symmetry-distinct sites (fractional):
1 La 0.000 0.000 0.000 x2
2 In 0.000 0.500 0.000 x2
3 Mo 0.250 0.250 0.500 x4

---

No. 16
The following is a PBEsol calculation of a relaxed structure of Cu3TePbO7, from the Alexandria database.

Summary:
The calculation puts the total energy at -67.019 eV/f.u. As for the uncorrected formation energy: -0.81 eV/atom.

Cell: 10.582 6.349 8.692 Å, 90.00 90.00 90.00°
Space group Pnma (No. 62)
Symmetry-distinct sites (fractional):
1 Cu 0.110 0.009 0.122 x8
2 Cu 0.244 0.250 0.407 x4
3 Te 0.113 0.250 0.796 x4
4 Pb 0.108 0.750 0.542 x4
5 O 0.008 0.028 0.707 x8
6 O 0.020 0.750 0.043 x4
7 O 0.198 0.250 0.201 x4
8 O 0.206 0.043 0.926 x8
9 O 0.235 0.250 0.636 x4

---

No. 17
The following is a PBEsol calculation of a relaxed structure of MnPdS2, from the Alexandria database.

Summary:
The calculation puts the total energy at -26.310 eV/f.u. As for the uncorrected formation energy: -0.46 eV/atom.

Cell: 3.1008 3.1008 21.7799 Å, 90.00 90.00 120.00°
Space group R-3m (No. 166, hexagonal axes)
Symmetry-distinct sites (fractional):
1 Mn 0.0000 0.0000 0.0000 x3
2 Pd 0.0000 0.0000 0.5000 x3
3 S 0.0000 0.0000 0.3963 x6

---

No. 18
The following is a PBEsol calculation of a relaxed structure of BaSrSe2, from the Alexandria database.

Summary:
The calculation puts the total energy at -15.766 eV/f.u. As for the uncorrected formation energy: -1.02 eV/atom.

Cell: 7.622 7.622 7.622 Å, 90.00 90.00 90.00°
Space group F-43m (No. 216)
Symmetry-distinct sites (fractional):
1 Ba 0.000 0.000 0.000 x4
2 Sr 0.250 0.250 0.250 x4
3 Se 0.000 0.000 0.500 x4
4 Se 0.250 0.250 0.750 x4

---

No. 19
The following is a PBEsol calculation of a relaxed structure of Cu2ReTeMo, from the Alexandria database.

Summary:
The calculation puts the total energy at -28.612 eV/f.u. As for the uncorrected formation energy: 1.74 eV/atom.

Cell: 4.644 4.644 4.896 Å, 90.00 90.00 90.00°
Space group P4/mmm (No. 123)
Symmetry-distinct sites (fractional):
1 Cu 0.000 0.500 0.000 x2
2 Re 0.000 0.000 0.000 x1
3 Te 0.000 0.000 0.500 x1
4 Mo 0.500 0.500 0.500 x1